1.
This record from Alexandria describes a relaxed TlInSnTe3 crystal. The functional is PBE.

a b c (Å): 4.6577 9.1359 10.7613
angles (deg): 104.84 90.00 90.00
Atoms (fractional coordinates):
Te: 0.2500 0.0752 0.8894
Te: 0.2500 0.5380 0.8287
Te: 0.7500 0.9248 0.1106
Te: 0.7500 0.2178 0.5375
Te: 0.2500 0.7822 0.4625
Te: 0.7500 0.4620 0.1713
Tl: 0.2500 0.2285 0.2305
Tl: 0.7500 0.7715 0.7695
In: 0.2500 0.0908 0.6346
In: 0.7500 0.9092 0.3654
Sn: 0.7500 0.3277 0.8920
Sn: 0.2500 0.6723 0.1080

## Properties
- DFT total energy: -3.377 eV/atom
- Formation energy (no corrections): -0.288 eV/atom

=====

2.
This record from Alexandria describes a relaxed Tl2In2SnTe4 crystal. The functional is PBE.

a b c (Å): 4.4757 9.6775 8.2752
angles (deg): 113.43 90.00 103.37
Atoms (fractional coordinates):
Tl: 0.8620 0.7240 0.4638
Tl: 0.1380 0.2760 0.5362
Te: 0.8156 0.6312 0.8484
Te: 0.1844 0.3688 0.1516
Te: 0.4836 0.9672 0.7198
Te: 0.5164 0.0328 0.2802
Sn: 0.0000 0.0000 0.0000
In: 0.3431 0.6862 0.1103
In: 0.6569 0.3138 0.8897

## Properties
- DFT total energy: -3.201 eV/atom
- Formation energy (no corrections): -0.225 eV/atom